A plane-wave DFT calculation with GGA-PBE was carried out for crystalline ZnCu2Ag at its relaxed geometry.

Energy of formation: 0.0413 eV/atom

Cell: 6.0916 6.0916 6.0916 Å, 90.00 90.00 90.00°
Closest atoms and distances in Å follow each position.
Space group F-43m (No. 216)
One atom of each set of equivalent atoms:
Zn1 0.0000 0.0000 0.0000 x4  4 Cu 2.64, 4 Ag 2.64
Cu1 0.0000 0.0000 0.5000 x4  4 Cu 2.64, 4 Ag 2.64
Cu2 0.2500 0.2500 0.7500 x4  4 Cu 2.64, 4 Zn 2.64
Ag1 0.2500 0.2500 0.2500 x4  4 Cu 2.64, 4 Zn 2.64